[1]
VASP calculation (PBE) on a geometry-optimized Li15Ge structure.

The size of the total moment is 0.0 μB/f.u. The calculation puts the total DFT energy (no corrections) at -2.134 eV/atom. For the volume, the calculation gives 298 Å³/f.u.

The space group is P-6m2 (No. 187) and the conventional cell measures 5.9587, 5.9587 and 9.7026 Å, with angles of 90.00, 90.00 and 120.00 degrees. Symmetry generates all atoms from Li at (0.0000, 0.0000, 0.0000), Li at (0.0038, 0.5019, 0.5000), Li at (0.3200, 0.1600, 0.2657), Li at (0.3333, 0.6667, 0.2335), Li at (0.5052, 0.0104, 0.0000) and Ge at (0.0000, 0.0000, 0.5000).

[2]
VASP calculation (PBE) on a geometry-optimized Li3Ge2 structure.

The size of the total moment is 0.0 μB/f.u. The calculation puts the total DFT energy (no corrections) at -3.175 eV/atom. For the volume, the calculation gives 88 Å³/f.u. The offset from the most stable computed form is 100.7 meV/atom.

The space group is R-3m (No. 166, hexagonal axes) and the conventional cell measures 5.5948, 5.5948 and 9.7640 Å, with angles of 90.00, 90.00 and 120.00 degrees. Symmetry generates all atoms from Li at (0.0000, 0.5000, 0.0000) and Ge at (0.0000, 0.0000, 0.1223).

| no. | density (g/cm³) |
| --- | --- |
| 1 | 0.984 |
| 2 | 3.126 |